Record 1
Compound: Y2MgSe
Source: Alexandria via LeMat-Bulk
Functional: PBE
Structure: optimized geometry

## Properties
density	4.7	g cm⁻³
space group	P4/mmm (123)
ΔE_f (raw)	-718	meV/atom
excess energy over the best structure of this formula in the dataset	141.7	meV/atom

a b c (Å): 3.6796 3.6796 7.3067
angles (deg): 90.00 90.00 90.00
Sites, in units of the cell vectors:
1 Y 0.0000 0.0000 0.2379
2 Y 0.0000 0.0000 0.7621
3 Mg 0.5000 0.5000 0.5000
4 Se 0.5000 0.5000 0.0000



Record 2
Compound: YMgSe
Source: Alexandria via LeMat-Bulk
Functional: PBE
Structure: optimized geometry

## Properties
density	4.0	g cm⁻³
space group	P3m1 (156)
ΔE_f (raw)	-844	meV/atom
excess energy over the best structure of this formula in the dataset	105.2	meV/atom

a b c (Å): 3.8272 3.8272 6.2369
angles (deg): 90.00 90.00 120.00
Sites, in units of the cell vectors:
1 Y 0.0000 0.0000 0.0000
2 Mg 0.6667 0.3333 0.4256
3 Se 0.3333 0.6667 0.7028



Record 3
Compound: YMgSe2
Source: Alexandria via LeMat-Bulk
Functional: PBE
Structure: optimized geometry

## Properties
density	4.8	g cm⁻³
space group	P4/mmm (123)
ΔE_f (raw)	-1428	meV/atom

a b c (Å): 4.0350 4.0350 5.7609
angles (deg): 90.00 90.00 90.00
Sites, in units of the cell vectors:
1 Y 0.0000 0.0000 0.0000
2 Mg 0.5000 0.5000 0.5000
3 Se 0.0000 0.0000 0.5000
4 Se 0.5000 0.5000 0.0000



Record 4
Compound: YMgSe2
Source: Alexandria via LeMat-Bulk
Functional: PBE
Structure: optimized geometry

## Properties
density	4.7	g cm⁻³
space group	I-4m2 (119)
ΔE_f (raw)	-1126	meV/atom

a b c (Å): 6.8200 6.8200 6.8200
angles (deg): 146.45 146.45 48.18
Sites, in units of the cell vectors:
1 Y 0.0000 0.0000 0.0000
2 Mg 0.2500 0.7500 0.5000
3 Se 0.5000 0.5000 0.0000
4 Se 0.7500 0.2500 0.5000



Record 5
Compound: YMgSe2
Source: Alexandria via LeMat-Bulk
Functional: PBE
Structure: optimized geometry

## Properties
density	3.7	g cm⁻³
space group	I-42d (122)
ΔE_f (raw)	-1180	meV/atom

a b c (Å): 7.5256 7.5256 7.5256
angles (deg): 130.40 130.40 72.77
Sites, in units of the cell vectors:
1 Y 0.0000 0.0000 0.0000
2 Y 0.7500 0.2500 0.5000
3 Mg 0.2500 0.7500 0.5000
4 Mg 0.5000 0.5000 0.0000
5 Se 0.1523 0.6250 0.0273
6 Se 0.3750 0.4023 0.5273
7 Se 0.5977 0.1250 0.9727
8 Se 0.8750 0.8477 0.4727



Record 6
Compound: YMgSe2
Source: Alexandria via LeMat-Bulk
Functional: PBE
Structure: optimized geometry

## Properties
density	4.7	g cm⁻³
space group	Amm2 (38)
ΔE_f (raw)	-1432	meV/atom

a b c (Å): 3.9965 6.5095 6.5095
angles (deg): 34.13 90.00 90.00
Sites, in units of the cell vectors:
1 Y 0.0000 0.0000 0.0000
2 Mg 0.5000 0.7810 0.7810
3 Se 0.0000 0.3183 0.3183
4 Se 0.5000 0.5716 0.5716



Record 7
Compound: Y2MgSe4
Source: Alexandria via LeMat-Bulk
Functional: PBE
Structure: optimized geometry

## Properties
density	5.2	g cm⁻³
space group	I-42d (122)
ΔE_f (raw)	-1623	meV/atom
excess energy over the best structure of this formula in the dataset	87.6	meV/atom

a b c (Å): 7.5529 7.5529 7.5529
angles (deg): 110.61 110.61 107.22
Sites, in units of the cell vectors:
1 Y 0.0059 0.1250 0.3809
2 Y 0.3750 0.9941 0.1191
3 Y 0.7441 0.6250 0.6191
4 Y 0.8750 0.2559 0.8809
5 Mg 0.2500 0.7500 0.5000
6 Mg 0.5000 0.5000 0.0000
7 Se 0.0108 0.7479 0.1316
8 Se 0.1208 0.9892 0.7371
9 Se 0.1337 0.5021 0.7629
10 Se 0.2521 0.3837 0.2629
11 Se 0.4979 0.2608 0.6316
12 Se 0.6163 0.8792 0.8684
13 Se 0.6292 0.8663 0.3684
14 Se 0.7392 0.3708 0.2371



Record 8
Compound: YMgSe
Source: Alexandria via LeMat-Bulk
Functional: PBE
Structure: optimized geometry

## Properties
density	4.0	g cm⁻³
space group	F-43m (216)
ΔE_f (raw)	-502	meV/atom
excess energy over the best structure of this formula in the dataset	447.2	meV/atom

a b c (Å): 4.8483 4.8483 4.8483
angles (deg): 60.00 60.00 60.00
Sites, in units of the cell vectors:
1 Y 0.0000 0.0000 0.0000
2 Mg 0.5000 0.5000 0.5000
3 Se 0.7500 0.7500 0.7500



Record 9
Compound: Y2MgSe
Source: Alexandria via LeMat-Bulk
Functional: PBE
Structure: optimized geometry

## Properties
density	4.6	g cm⁻³
space group	I4/mmm (139)
ΔE_f (raw)	-485	meV/atom
excess energy over the best structure of this formula in the dataset	375.2	meV/atom

a b c (Å): 5.6010 5.6010 5.6010
angles (deg): 129.76 129.76 73.79
Sites, in units of the cell vectors:
1 Y 0.2500 0.7500 0.5000
2 Y 0.7500 0.2500 0.5000
3 Mg 0.0000 0.0000 0.0000
4 Se 0.5000 0.5000 0.0000



Record 10
Compound: YMgSe2
Source: Alexandria via LeMat-Bulk
Functional: PBE
Structure: optimized geometry

## Properties
density	4.9	g cm⁻³
space group	R3m (160)
ΔE_f (raw)	-1454	meV/atom

a b c (Å): 7.2920 7.2920 7.2920
angles (deg): 31.06 31.06 31.06
Sites, in units of the cell vectors:
1 Y 0.0000 0.0000 0.0000
2 Mg 0.1675 0.1675 0.1675
3 Se 0.5748 0.5748 0.5748
4 Se 0.7566 0.7566 0.7566



Record 11
Compound: YMgSe3
Source: Alexandria via LeMat-Bulk
Functional: PBE
Structure: optimized geometry

## Properties
density	4.7	g cm⁻³
space group	Pm-3m (221)
ΔE_f (raw)	-721	meV/atom
excess energy over the best structure of this formula in the dataset	522.3	meV/atom

a b c (Å): 4.9905 4.9905 4.9905
angles (deg): 90.00 90.00 90.00
Sites, in units of the cell vectors:
1 Y 0.0000 0.0000 0.0000
2 Mg 0.5000 0.5000 0.5000
3 Se 0.0000 0.5000 0.5000
4 Se 0.5000 0.0000 0.5000
5 Se 0.5000 0.5000 0.0000



Record 12
Compound: YMgSe
Source: Alexandria via LeMat-Bulk
Functional: PBE
Structure: optimized geometry

## Properties
density	3.9	g cm⁻³
space group	R-3m (166)
ΔE_f (raw)	-950	meV/atom
excess energy over the best structure of this formula in the dataset	0.0	meV/atom

a b c (Å): 8.2287 8.2287 8.2287
angles (deg): 34.77 34.77 34.77
Sites, in units of the cell vectors:
1 Y 0.0852 0.0852 0.0852
2 Y 0.9148 0.9148 0.9148
3 Mg 0.3307 0.3307 0.3307
4 Mg 0.6693 0.6693 0.6693
5 Se 0.2150 0.2150 0.2150
6 Se 0.7850 0.7850 0.7850



Record 13
Compound: YMgSe
Source: Alexandria via LeMat-Bulk
Functional: PBE
Structure: optimized geometry

## Properties
density	4.2	g cm⁻³
space group	I4mm (107)
ΔE_f (raw)	-810	meV/atom
excess energy over the best structure of this formula in the dataset	139.4	meV/atom

a b c (Å): 6.4181 6.4181 6.4181
angles (deg): 147.62 147.62 46.45
Sites, in units of the cell vectors:
1 Y 0.0000 0.0000 0.0000
2 Mg 0.2971 0.2971 0.0000
3 Se 0.6266 0.6266 0.0000